Compound: CuP4S3I
Source: Alexandria
Functional: SCAN
Structure: PBEsol geometry

Lattice parameters (Å, degrees): 7.688 21.469 10.271 90.00 90.00 90.00
Space group Cmce (No. 64)
One atom of each set of equivalent atoms:
Cu  0.189  0.000  0.000 x8
P  0.000  0.122  0.280 x8
P  0.000  0.222  0.529 x8
P  0.146  0.083  0.455 x16
S  0.000  0.218  0.323 x8
S  0.210  0.160  0.567 x16
I  0.000  0.033  0.803 x8

- crystal system = orthorhombic
- DOS(E_F) (states/eV/cell) = 0.00
- formation energy from raw total energies (eV per atom) = -0.20